P.
{
  "formula": "HfBe2Ir2",
  "functional": "PBE-GGA",
  "state": "relaxed",
  "cell": [[6.903, 0.000, 0.000], [0.000, 6.903, 0.000], [0.000, 0.000, 2.839]],
  "species": ["Hf", "Hf", "Be", "Be", "Be", "Be", "Ir", "Ir", "Ir", "Ir"],
  "frac_coords": [[0.000, 0.000, 0.000], [0.500, 0.500, 0.000], [0.147, 0.353, 0.500], [0.353, 0.853, 0.500], [0.647, 0.147, 0.500], [0.853, 0.647, 0.500], [0.146, 0.646, 0.000], [0.354, 0.146, 0.000], [0.646, 0.854, 0.000], [0.854, 0.354, 0.000]],
  "n_ef_per_ev_fu": 1.77,
  "m_tot_mub_per_cell": 0.000
}

***

Q.
{
  "formula": "HfBe2Ir2",
  "functional": "PBE-GGA",
  "state": "relaxed",
  "cell": [[6.763, 0.000, 0.000], [0.000, 6.763, 0.000], [0.000, 0.000, 2.847]],
  "species": ["Hf", "Hf", "Be", "Be", "Be", "Be", "Ir", "Ir", "Ir", "Ir"],
  "frac_coords": [[0.000, 0.000, 0.000], [0.500, 0.500, 0.000], [0.116, 0.384, 0.000], [0.384, 0.884, 0.000], [0.616, 0.116, 0.000], [0.884, 0.616, 0.000], [0.173, 0.673, 0.500], [0.327, 0.173, 0.500], [0.673, 0.827, 0.500], [0.827, 0.327, 0.500]],
  "n_ef_per_ev_fu": 2.19,
  "m_tot_mub_per_cell": 0.000
}

***

R.
{
  "formula": "HfBe2Ir2",
  "functional": "PBE-GGA",
  "state": "relaxed",
  "cell": [[3.217, 0.000, 0.000], [0.000, 3.217, 0.000], [0.000, 0.000, 13.345]],
  "species": ["Hf", "Hf", "Be", "Be", "Be", "Be", "Ir", "Ir", "Ir", "Ir"],
  "frac_coords": [[0.000, 0.000, 0.000], [0.500, 0.500, 0.500], [0.000, 0.500, 0.250], [0.000, 0.500, 0.750], [0.500, 0.000, 0.250], [0.500, 0.000, 0.750], [0.000, 0.000, 0.383], [0.000, 0.000, 0.617], [0.500, 0.500, 0.117], [0.500, 0.500, 0.883]],
  "n_ef_per_ev_fu": 0.18,
  "m_tot_mub_per_cell": 0.000
}

***

Name the most stable of them. Q.

***

P.
{
  "formula": "HfBe3Ir",
  "functional": "PBE-GGA",
  "state": "relaxed",
  "cell": [[4.130, 0.000, 0.000], [0.000, 4.130, 0.000], [0.000, 0.000, 4.130]],
  "species": ["Hf", "Be", "Be", "Be", "Ir"],
  "frac_coords": [[0.000, 0.000, 0.000], [0.000, 0.500, 0.500], [0.500, 0.000, 0.500], [0.500, 0.500, 0.000], [0.500, 0.500, 0.500]],
  "n_ef_per_ev_fu": 1.81,
  "m_tot_mub_per_cell": 0.000
}

***

Q.
{
  "formula": "HfBe3Ir",
  "functional": "PBE-GGA",
  "state": "relaxed",
  "cell": [[4.349, 0.000, 0.000], [0.000, 4.349, 0.000], [0.000, 0.000, 4.349]],
  "species": ["Hf", "Be", "Be", "Be", "Ir"],
  "frac_coords": [[0.000, 0.000, 0.000], [0.000, 0.000, 0.500], [0.000, 0.500, 0.000], [0.500, 0.000, 0.000], [0.500, 0.500, 0.500]],
  "n_ef_per_ev_fu": 7.02,
  "m_tot_mub_per_cell": 0.260
}

***

Name the most stable of them. P.

***

P.
{
  "formula": "KHf2Be2",
  "functional": "PBE-GGA",
  "state": "relaxed",
  "cell": [[4.631, 0.000, 0.000], [0.000, 4.631, 0.000], [0.000, 0.000, 10.858]],
  "species": ["K", "K", "Hf", "Hf", "Hf", "Hf", "Be", "Be", "Be", "Be"],
  "frac_coords": [[0.000, 0.000, 0.000], [0.500, 0.500, 0.500], [0.000, 0.000, 0.337], [0.000, 0.000, 0.663], [0.500, 0.500, 0.163], [0.500, 0.500, 0.837], [0.000, 0.500, 0.250], [0.000, 0.500, 0.750], [0.500, 0.000, 0.250], [0.500, 0.000, 0.750]],
  "n_ef_per_ev_fu": 5.36,
  "m_tot_mub_per_cell": 2.397
}

***

Q.
{
  "formula": "KHf2Be2",
  "functional": "PBE-GGA",
  "state": "relaxed",
  "cell": [[8.357, 0.000, 0.000], [0.000, 8.357, 0.000], [0.000, 0.000, 2.792]],
  "species": ["K", "K", "Hf", "Hf", "Hf", "Hf", "Be", "Be", "Be", "Be"],
  "frac_coords": [[0.000, 0.000, 0.000], [0.500, 0.500, 0.000], [0.128, 0.372, 0.000], [0.372, 0.872, 0.000], [0.628, 0.128, 0.000], [0.872, 0.628, 0.000], [0.162, 0.662, 0.500], [0.338, 0.162, 0.500], [0.662, 0.838, 0.500], [0.838, 0.338, 0.500]],
  "n_ef_per_ev_fu": 3.05,
  "m_tot_mub_per_cell": 0.000
}

***

Name the most stable of them. Q.

***

P.
{
  "formula": "LiHfBe2",
  "functional": "PBE-GGA",
  "state": "relaxed",
  "cell": [[6.618, 0.000, 0.000], [0.000, 6.618, 0.000], [0.000, 0.000, 5.176]],
  "species": ["Li", "Li", "Li", "Li", "Hf", "Hf", "Hf", "Hf", "Be", "Be", "Be", "Be", "Be", "Be", "Be", "Be"],
  "frac_coords": [[0.000, 0.000, 0.000], [0.000, 0.500, 0.250], [0.500, 0.000, 0.750], [0.500, 0.500, 0.500], [0.000, 0.000, 0.500], [0.000, 0.500, 0.750], [0.500, 0.000, 0.250], [0.500, 0.500, 0.000], [0.216, 0.250, 0.125], [0.250, 0.716, 0.375], [0.250, 0.784, 0.875], [0.284, 0.250, 0.625], [0.716, 0.750, 0.625], [0.750, 0.216, 0.875], [0.750, 0.284, 0.375], [0.784, 0.750, 0.125]],
  "n_ef_per_ev_fu": 1.44,
  "m_tot_mub_per_cell": 0.000
}

***

Q.
{
  "formula": "LiHfBe2",
  "functional": "PBE-GGA",
  "state": "relaxed",
  "cell": [[5.967, 0.000, 0.000], [0.000, 5.967, 0.000], [0.000, 0.000, 5.967]],
  "species": ["Li", "Li", "Li", "Li", "Hf", "Hf", "Hf", "Hf", "Be", "Be", "Be", "Be", "Be", "Be", "Be", "Be"],
  "frac_coords": [[0.000, 0.000, 0.000], [0.000, 0.500, 0.500], [0.500, 0.000, 0.500], [0.500, 0.500, 0.000], [0.000, 0.000, 0.500], [0.000, 0.500, 0.000], [0.500, 0.000, 0.000], [0.500, 0.500, 0.500], [0.250, 0.250, 0.250], [0.250, 0.250, 0.750], [0.250, 0.750, 0.250], [0.250, 0.750, 0.750], [0.750, 0.250, 0.250], [0.750, 0.250, 0.750], [0.750, 0.750, 0.250], [0.750, 0.750, 0.750]],
  "n_ef_per_ev_fu": 2.02,
  "m_tot_mub_per_cell": 0.000
}

***

Name the most stable of them. Q.

***

P.
{
  "formula": "HfMg3Be",
  "functional": "PBE-GGA",
  "state": "relaxed",
  "cell": [[5.615, 0.000, 0.000], [0.000, 5.615, 0.000], [0.000, 0.000, 5.615]],
  "species": ["Hf", "Mg", "Mg", "Mg", "Be"],
  "frac_coords": [[0.000, 0.000, 0.000], [0.000, 0.000, 0.500], [0.000, 0.500, 0.000], [0.500, 0.000, 0.000], [0.500, 0.500, 0.500]],
  "n_ef_per_ev_fu": 5.24,
  "m_tot_mub_per_cell": 1.789
}

***

Q.
{
  "formula": "HfMg3Be",
  "functional": "PBE-GGA",
  "state": "relaxed",
  "cell": [[4.645, 0.000, 0.000], [0.000, 4.645, 0.000], [0.000, 0.000, 4.645]],
  "species": ["Hf", "Mg", "Mg", "Mg", "Be"],
  "frac_coords": [[0.000, 0.000, 0.000], [0.000, 0.500, 0.500], [0.500, 0.000, 0.500], [0.500, 0.500, 0.000], [0.500, 0.500, 0.500]],
  "n_ef_per_ev_fu": 3.64,
  "m_tot_mub_per_cell": 0.000
}

***

Name the most stable of them. Q.

***

P.
{
  "formula": "Hf2MgBe",
  "functional": "PBE-GGA",
  "state": "relaxed",
  "cell": [[6.615, 0.000, 0.000], [0.000, 6.615, 0.000], [0.000, 0.000, 6.615]],
  "species": ["Hf", "Hf", "Hf", "Hf", "Hf", "Hf", "Hf", "Hf", "Mg", "Mg", "Mg", "Mg", "Be", "Be", "Be", "Be"],
  "frac_coords": [[0.250, 0.250, 0.250], [0.250, 0.250, 0.750], [0.250, 0.750, 0.250], [0.250, 0.750, 0.750], [0.750, 0.250, 0.250], [0.750, 0.250, 0.750], [0.750, 0.750, 0.250], [0.750, 0.750, 0.750], [0.000, 0.000, 0.000], [0.000, 0.500, 0.500], [0.500, 0.000, 0.500], [0.500, 0.500, 0.000], [0.000, 0.000, 0.500], [0.000, 0.500, 0.000], [0.500, 0.000, 0.000], [0.500, 0.500, 0.500]],
  "n_ef_per_ev_fu": 2.07,
  "m_tot_mub_per_cell": 0.000
}

***

Q.
{
  "formula": "Hf2MgBe",
  "functional": "PBE-GGA",
  "state": "relaxed",
  "cell": [[3.111, 0.000, 0.000], [-1.555, 2.694, 0.000], [0.000, 0.000, 29.360]],
  "species": ["Hf", "Hf", "Hf", "Hf", "Hf", "Hf", "Mg", "Mg", "Mg", "Be", "Be", "Be"],
  "frac_coords": [[0.000, 0.000, 0.104], [0.000, 0.000, 0.896], [0.333, 0.667, 0.563], [0.333, 0.667, 0.770], [0.667, 0.333, 0.230], [0.667, 0.333, 0.437], [0.000, 0.000, 0.000], [0.333, 0.667, 0.667], [0.667, 0.333, 0.333], [0.000, 0.000, 0.500], [0.333, 0.667, 0.167], [0.667, 0.333, 0.833]],
  "n_ef_per_ev_fu": 3.21,
  "m_tot_mub_per_cell": 0.000
}

***

R.
{
  "formula": "Hf2MgBe",
  "functional": "PBE-GGA",
  "state": "relaxed",
  "cell": [[7.482, 0.000, 0.000], [0.000, 7.482, 0.000], [0.000, 0.000, 5.598]],
  "species": ["Hf", "Hf", "Hf", "Hf", "Hf", "Hf", "Hf", "Hf", "Mg", "Mg", "Mg", "Mg", "Be", "Be", "Be", "Be"],
  "frac_coords": [[0.201, 0.750, 0.125], [0.250, 0.201, 0.875], [0.250, 0.299, 0.375], [0.299, 0.750, 0.625], [0.701, 0.250, 0.625], [0.750, 0.701, 0.375], [0.750, 0.799, 0.875], [0.799, 0.250, 0.125], [0.000, 0.000, 0.500], [0.000, 0.500, 0.750], [0.500, 0.000, 0.250], [0.500, 0.500, 0.000], [0.000, 0.000, 0.000], [0.000, 0.500, 0.250], [0.500, 0.000, 0.750], [0.500, 0.500, 0.500]],
  "n_ef_per_ev_fu": 2.70,
  "m_tot_mub_per_cell": 0.000
}

***

Name the most stable of them. P.